Here is a relaxed structure of Ti2InPb2 from Alexandria. Energies are from PBE.

Cell lengths 7.412, 7.412, 4.117 Å; angles 90.00, 90.00, 90.00 degrees
Element x y z (fractional)
Ti: 0.135 0.365 0.000
Ti: 0.365 0.865 0.000
Ti: 0.635 0.135 0.000
Ti: 0.865 0.635 0.000
In: 0.000 0.000 0.000
In: 0.500 0.500 0.000
Pb: 0.167 0.667 0.500
Pb: 0.333 0.167 0.500
Pb: 0.667 0.833 0.500
Pb: 0.833 0.333 0.500

Output
- Space-group type: P4/mbm, No. 127
- Mass density: 9.18 Mg/m³
- Uncorrected energy: -5.13 eV/atom
- Calculated volume: 226 Å³ per cell
- Magnetic moment: 0.00 μB/f.u.
- Energy relative to the lowest polymorph listed for this composition: 0.00 kcal/mol of atoms